w:
A relaxed BaZrCd crystal. Source: Alexandria, functional GGA-PBE.

Cell: 5.114 5.944 6.866 Å, 79.58 89.81 89.93°
Atoms (fractional coordinates):
Ba 0.250 0.242 0.094
Ba 0.750 0.758 0.906
Zr 0.250 0.597 0.511
Zr 0.750 0.403 0.489
Cd 0.250 0.087 0.607
Cd 0.750 0.913 0.393

SG ... P-1
V ... 205 Å³ per cell
M_tot ... 0.00 μB/f.u.


x:
A relaxed BaZrCd crystal. Source: Alexandria, functional GGA-PBE.

Cell: 5.582 5.337 6.999 Å, 90.00 90.60 90.00°
Atoms (fractional coordinates):
Ba 0.000 0.000 0.000
Ba 0.498 0.500 0.783
Zr 0.250 0.500 0.332
Zr 0.773 0.500 0.336
Cd 0.015 0.000 0.499
Cd 0.513 0.000 0.392

SG ... Pm
V ... 208 Å³ per cell
M_tot ... 0.00 μB/f.u.


Q: Which of them is the most stable? A: w.


w:
A relaxed WAuBr2 crystal. Source: Alexandria, functional GGA-PBE.

Cell: 10.043 3.167 7.582 Å, 90.00 111.03 90.00°
Atoms (fractional coordinates):
W 0.000 0.000 0.000
W 0.500 0.500 0.000
Au 0.228 0.500 0.000
Au 0.728 0.000 0.000
Br 0.046 0.500 0.287
Br 0.392 0.000 0.713
Br 0.546 0.000 0.287
Br 0.892 0.500 0.713

SG ... Cm
V ... 225 Å³ per cell
M_tot ... 0.96 μB/f.u.


x:
A relaxed WAuBr2 crystal. Source: Alexandria, functional GGA-PBE.

Cell: 3.354 3.354 27.534 Å, 90.00 90.00 120.00°
Atoms (fractional coordinates):
W 0.000 0.000 0.000
W 0.333 0.667 0.667
W 0.667 0.333 0.333
Au 0.000 0.000 0.739
Au 0.333 0.667 0.405
Au 0.667 0.333 0.072
Br 0.000 0.000 0.269
Br 0.000 0.000 0.477
Br 0.333 0.667 0.144
Br 0.333 0.667 0.936
Br 0.667 0.333 0.603
Br 0.667 0.333 0.810

SG ... R3m
V ... 268 Å³ per cell
M_tot ... 0.00 μB/f.u.


Q: Which of them is the most stable? A: w.


w:
A relaxed TlAs2Pd2 crystal. Source: Alexandria, functional GGA-PBE.

Cell: 4.544 4.544 10.370 Å, 90.00 90.00 90.00°
Atoms (fractional coordinates):
Tl 0.000 0.000 0.000
Tl 0.500 0.500 0.500
As 0.000 0.500 0.250
As 0.000 0.500 0.750
As 0.500 0.000 0.250
As 0.500 0.000 0.750
Pd 0.000 0.000 0.361
Pd 0.000 0.000 0.639
Pd 0.500 0.500 0.139
Pd 0.500 0.500 0.861

SG ... I4/mmm
V ... 214 Å³ per cell
M_tot ... 0.00 μB/f.u.


x:
A relaxed TlAs2Pd2 crystal. Source: Alexandria, functional GGA-PBE.

Cell: 7.998 7.998 3.016 Å, 90.00 90.00 90.00°
Atoms (fractional coordinates):
Tl 0.000 0.000 0.000
Tl 0.500 0.500 0.000
As 0.142 0.358 0.500
As 0.358 0.858 0.500
As 0.642 0.142 0.500
As 0.858 0.642 0.500
Pd 0.135 0.635 0.000
Pd 0.365 0.135 0.000
Pd 0.635 0.865 0.000
Pd 0.865 0.365 0.000

SG ... P4/mbm
V ... 193 Å³ per cell
M_tot ... 0.00 μB/f.u.


Q: Which of them is the most stable? A: w.


w:
A relaxed CrC2 crystal. Source: Alexandria, functional GGA-PBE.

Cell: 2.752 12.325 2.600 Å, 90.00 90.00 90.00°
Atoms (fractional coordinates):
Cr 0.000 0.127 0.250
Cr 0.000 0.873 0.750
Cr 0.500 0.373 0.750
Cr 0.500 0.627 0.250
C 0.000 0.251 0.750
C 0.000 0.468 0.250
C 0.000 0.532 0.750
C 0.000 0.749 0.250
C 0.500 0.032 0.750
C 0.500 0.249 0.250
C 0.500 0.751 0.750
C 0.500 0.968 0.250

SG ... Cmcm
V ... 88 Å³ per cell
M_tot ... 0.41 μB/f.u.


x:
A relaxed CrC2 crystal. Source: Alexandria, functional GGA-PBE.

Cell: 2.798 4.290 4.374 Å, 90.00 90.00 90.00°
Atoms (fractional coordinates):
Cr 0.000 0.000 0.000
Cr 0.500 0.500 0.500
C 0.000 0.500 0.154
C 0.000 0.500 0.846
C 0.500 0.000 0.346
C 0.500 0.000 0.654

SG ... Immm
V ... 53 Å³ per cell
M_tot ... 1.78 μB/f.u.


Q: Which of them is the most stable? A: x.


w:
A relaxed Al3Os2 crystal. Source: Alexandria, functional GGA-PBE.

Cell: 4.237 4.237 5.133 Å, 90.00 90.00 120.00°
Atoms (fractional coordinates):
Al 0.000 0.000 0.000
Al 0.333 0.667 0.367
Al 0.667 0.333 0.633
Os 0.333 0.667 0.857
Os 0.667 0.333 0.143

SG ... P-3m1
V ... 80 Å³ per cell
M_tot ... 0.00 μB/f.u.


x:
A relaxed Al3Os2 crystal. Source: Alexandria, functional GGA-PBE.

Cell: 3.126 3.126 14.230 Å, 90.00 90.00 90.00°
Atoms (fractional coordinates):
Al 0.000 0.000 0.000
Al 0.000 0.000 0.196
Al 0.000 0.000 0.804
Al 0.500 0.500 0.304
Al 0.500 0.500 0.500
Al 0.500 0.500 0.696
Os 0.000 0.000 0.393
Os 0.000 0.000 0.607
Os 0.500 0.500 0.107
Os 0.500 0.500 0.893

SG ... I4/mmm
V ... 139 Å³ per cell
M_tot ... 0.00 μB/f.u.


Q: Which of them is the most stable? A: x.


w:
A relaxed TcW2Cl crystal. Source: Alexandria, functional GGA-PBE.

Cell: 3.781 3.781 8.814 Å, 90.00 90.00 90.00°
Atoms (fractional coordinates):
Tc 0.000 0.000 0.000
Tc 0.500 0.500 0.500
W 0.000 0.000 0.500
W 0.000 0.500 0.750
W 0.500 0.000 0.250
W 0.500 0.500 0.000
Cl 0.000 0.500 0.250
Cl 0.500 0.000 0.750

SG ... I-4m2
V ... 126 Å³ per cell
M_tot ... 0.00 μB/f.u.


x:
A relaxed TcW2Cl crystal. Source: Alexandria, functional GGA-PBE.

Cell: 3.775 3.775 8.861 Å, 90.00 90.00 90.00°
Atoms (fractional coordinates):
Tc 0.000 0.000 0.000
Tc 0.500 0.500 0.500
W 0.000 0.500 0.250
W 0.000 0.500 0.750
W 0.500 0.000 0.250
W 0.500 0.000 0.750
Cl 0.000 0.000 0.500
Cl 0.500 0.500 0.000

SG ... I4/mmm
V ... 126 Å³ per cell
M_tot ... 0.00 μB/f.u.


Q: Which of them is the most stable? A: x.